The following is a DFT calculation (PBE with a Hubbard U) of crystalline AcPuMn2O8 at its relaxed geometry.

Lattice parameters (Å, degrees): 6.1412 6.1412 6.1412 108.09 108.09 112.27
Positions (direct):
1 Ac 0.0000 0.0000 0.0000
2 Pu 0.2500 0.7500 0.5000
3 Mn 0.5000 0.5000 0.0000
4 Mn 0.7500 0.2500 0.5000
5 O 0.3099 0.0920 0.7821
6 O 0.3099 0.5278 0.2179
7 O 0.3956 0.0640 0.3316
8 O 0.4722 0.6901 0.7821
9 O 0.7325 0.0640 0.6684
10 O 0.9080 0.6901 0.2179
11 O 0.9360 0.2675 0.3316
12 O 0.9360 0.6044 0.6684

- calculated total energy (eV for the cell shown) = -97.65
- density of states at the Fermi level (states/eV/f.u.) = 2.5
- symmetry = No. 119
- crystal system = tetragonal